No. 1
Entry from Alexandria via LeMat-Bulk: crystalline Pm3ErCo8 at its relaxed geometry (PBE).

Cell and atoms, written as CIF:
```
data_Pm3ErCo8
_space_group_name_H-M_alt 'R 3 m'
_space_group_IT_number 160
_space_group_name_Hall 'R 3 -2"'
_cell_length_a 5.1226
_cell_length_b 5.1226
_cell_length_c 25.1225
_cell_angle_alpha 90.00
_cell_angle_beta 90.00
_cell_angle_gamma 120.00
loop_
_atom_site_label
_atom_site_fract_x
_atom_site_fract_y
_atom_site_fract_z
_atom_site_occupancy
Pm1 0.0000 0.0000 0.0000 1
Pm2 0.0000 0.0000 0.1252 1
Pm3 0.0000 0.0000 0.6252 1
Er1 0.0000 0.0000 0.5004 1
Co1 0.0000 0.0000 0.3126 1
Co2 0.0000 0.0000 0.8132 1
Co3 0.0036 0.5018 0.0641 1
Co4 0.1677 0.3354 0.8947 1
```

Computed properties:
DFT formation energy (eV/f.u.): -1.30
DFT total energy (eV/cell): -230.88
Density of states at the Fermi level (states/eV/f.u.): 17.66

***

No. 2
Entry from Alexandria via LeMat-Bulk: crystalline PmErCoPt at its relaxed geometry (PBE).

Cell and atoms, written as CIF:
```
data_PmErCoPt
_space_group_name_H-M_alt 'F -4 3 m'
_space_group_IT_number 216
_space_group_name_Hall 'F -4 2 3'
_cell_length_a 6.9217
_cell_length_b 6.9217
_cell_length_c 6.9217
_cell_angle_alpha 90.00
_cell_angle_beta 90.00
_cell_angle_gamma 90.00
loop_
_atom_site_label
_atom_site_fract_x
_atom_site_fract_y
_atom_site_fract_z
_atom_site_occupancy
Pm1 0.0000 0.0000 0.0000 1
Er1 0.0000 0.0000 0.5000 1
Co1 0.2500 0.2500 0.2500 1
Pt1 0.2500 0.2500 0.7500 1
```

Computed properties:
DFT formation energy (eV/f.u.): -2.38
DFT total energy (eV/cell): -99.37
Density of states at the Fermi level (states/eV/f.u.): 3.11

***

No. 3
Entry from Alexandria via LeMat-Bulk: crystalline PmErCoRh at its relaxed geometry (PBE).

Cell and atoms, written as CIF:
```
data_PmErCoRh
_space_group_name_H-M_alt 'F -4 3 m'
_space_group_IT_number 216
_space_group_name_Hall 'F -4 2 3'
_cell_length_a 6.8449
_cell_length_b 6.8449
_cell_length_c 6.8449
_cell_angle_alpha 90.00
_cell_angle_beta 90.00
_cell_angle_gamma 90.00
loop_
_atom_site_label
_atom_site_fract_x
_atom_site_fract_y
_atom_site_fract_z
_atom_site_occupancy
Pm1 0.0000 0.0000 0.0000 1
Er1 0.0000 0.0000 0.5000 1
Co1 0.2500 0.2500 0.7500 1
Rh1 0.2500 0.2500 0.2500 1
```

Computed properties:
DFT formation energy (eV/f.u.): -1.70
DFT total energy (eV/cell): -101.90
Density of states at the Fermi level (states/eV/f.u.): 1.38

***

No. 4
Entry from Alexandria via LeMat-Bulk: crystalline PmErCoRu at its relaxed geometry (PBE).

Cell and atoms, written as CIF:
```
data_PmErCoRu
_space_group_name_H-M_alt 'F -4 3 m'
_space_group_IT_number 216
_space_group_name_Hall 'F -4 2 3'
_cell_length_a 6.8055
_cell_length_b 6.8055
_cell_length_c 6.8055
_cell_angle_alpha 90.00
_cell_angle_beta 90.00
_cell_angle_gamma 90.00
loop_
_atom_site_label
_atom_site_fract_x
_atom_site_fract_y
_atom_site_fract_z
_atom_site_occupancy
Pm1 0.0000 0.0000 0.0000 1
Er1 0.0000 0.0000 0.5000 1
Co1 0.2500 0.2500 0.7500 1
Ru1 0.2500 0.2500 0.2500 1
```

Computed properties:
DFT formation energy (eV/f.u.): -0.65
DFT total energy (eV/cell): -105.37
Density of states at the Fermi level (states/eV/f.u.): 3.63

***

No. 5
Entry from Alexandria via LeMat-Bulk: crystalline Pr2Er4Co at its relaxed geometry (PBE).

Cell and atoms, written as CIF:
```
data_Pr2Er4Co
_space_group_name_H-M_alt 'I 4/m m m'
_space_group_IT_number 139
_space_group_name_Hall '-I 4 2'
_cell_length_a 5.1581
_cell_length_b 5.1581
_cell_length_c 17.0378
_cell_angle_alpha 90.00
_cell_angle_beta 90.00
_cell_angle_gamma 90.00
loop_
_atom_site_label
_atom_site_fract_x
_atom_site_fract_y
_atom_site_fract_z
_atom_site_occupancy
Pr1 0.0000 0.0000 0.1416 1
Er1 0.0000 0.0000 0.3463 1
Er2 0.0000 0.5000 0.0000 1
Co1 0.0000 0.0000 0.5000 1
```

Computed properties:
DFT formation energy (eV/f.u.): 1.08
DFT total energy (eV/cell): -67.67
Density of states at the Fermi level (states/eV/f.u.): 9.51

***

No. 6
Entry from Alexandria via LeMat-Bulk: crystalline PrErCo at its relaxed geometry (PBE).

Cell and atoms, written as CIF:
```
data_PrErCo
_space_group_name_H-M_alt 'P 3 m 1'
_space_group_IT_number 156
_space_group_name_Hall 'P 3 -2"'
_cell_length_a 3.9513
_cell_length_b 3.9513
_cell_length_c 6.2128
_cell_angle_alpha 90.00
_cell_angle_beta 90.00
_cell_angle_gamma 120.00
loop_
_atom_site_label
_atom_site_fract_x
_atom_site_fract_y
_atom_site_fract_z
_atom_site_occupancy
Pr1 0.0000 0.0000 0.0000 1
Er1 0.3333 0.6667 0.5358 1
Co1 0.6667 0.3333 0.7562 1
```

Computed properties:
DFT formation energy (eV/f.u.): -0.03
DFT total energy (eV/cell): -16.48
Density of states at the Fermi level (states/eV/f.u.): 2.67